1.
## Ba3Fe2Br2O5 (PBEsol)

Data for a geometry-optimized Ba3Fe2Br2O5 structure.

a = 10.0714 Å, b = 10.0714 Å, c = 10.0714 Å
α = 90.00°, β = 90.00°, γ = 90.00°
Space group I2_13 (No. 199)
Unique sites:
Ba  0.0000  0.2500  0.4018 x12
Fe  0.0941  0.0941  0.0941 x8
Br  0.1904  0.3096  0.6904 x8
O  0.0000  0.2500  0.1401 x12
O  0.0103  0.4897  0.5103 x8

Results
The total magnetization is 10.04 μB per formula unit. The value obtained for the formation energy from raw total energies is -2.01 eV per atom. As for the energy: -78.5 eV per formula unit. The calculation puts the density of states at the Fermi level at 2.3 states/eV per cell.



2.
## ReMo (PBEsol)

Data for a geometry-optimized ReMo structure.

a = 9.2276 Å, b = 2.7649 Å, c = 4.7947 Å
α = 90.00°, β = 99.86°, γ = 90.00°
Space group C2/m (No. 12)
Unique sites:
Re  0.1301  0.0000  0.3782 x4
Mo  0.1198  0.5000  0.8705 x4

Results
The total magnetization is 0.00 μB per formula unit. The value obtained for the relative energy among the computed polymorphs is 99 meV per atom. As for the energy: -24.7 eV per formula unit. The calculation puts the density of states at the Fermi level at 7.4 states/eV per cell. The value obtained for the formation energy is 0.20 eV per atom.



3.
## Li2TaC2 (PBEsol)

Data for a geometry-optimized Li2TaC2 structure.

a = 6.0171 Å, b = 6.0171 Å, c = 2.4650 Å
α = 90.00°, β = 90.00°, γ = 90.00°
Space group P4/mbm (No. 127)
Unique sites:
Li  0.1059  0.3941  0.0000 x4
Ta  0.0000  0.0000  0.0000 x2
C  0.1909  0.6909  0.5000 x4

Results
The total magnetization is 0.00 μB per formula unit. The value obtained for the relative energy among the computed polymorphs is 49 meV per atom. As for the energy: -31.3 eV per formula unit. The calculation puts the density of states at the Fermi level at 2.7 states/eV per cell. The value obtained for the formation energy is 0.90 eV per atom.



4.
## TlSbSe2 (PBEsol)

Data for a geometry-optimized TlSbSe2 structure.

a = 3.9918 Å, b = 3.9918 Å, c = 13.4024 Å
α = 90.00°, β = 90.00°, γ = 90.00°
Space group I-4m2 (No. 119)
Unique sites:
Tl  0.0000  0.0000  0.0000 x2
Sb  0.0000  0.5000  0.2500 x2
Se  0.0000  0.0000  0.5000 x2
Se  0.0000  0.5000  0.7500 x2

Results
The total magnetization is 0.00 μB per formula unit. The value obtained for the formation energy from raw total energies is 0.05 eV per atom. As for the energy: -14.7 eV per formula unit. The calculation puts the density of states at the Fermi level at 6.3 states/eV per cell.



5.
## LiMg2Cu (PBEsol)

Data for a geometry-optimized LiMg2Cu structure.

a = 3.1862 Å, b = 3.1862 Å, c = 6.6194 Å
α = 90.00°, β = 90.00°, γ = 90.00°
Space group P4mm (No. 99)
Unique sites:
Li  0.0000  0.0000  0.0000 x1
Mg  0.0000  0.0000  0.5877 x1
Mg  0.5000  0.5000  0.2608 x1
Cu  0.5000  0.5000  0.8146 x1

Results
The total magnetization is 0.00 μB per formula unit. As for the energy: -9.8 eV per formula unit. The calculation puts the density of states at the Fermi level at 1.3 states/eV per cell. The value obtained for the formation energy is -0.01 eV per atom.



6.
## Mn4Fe2Sb3 (PBEsol)

Data for a geometry-optimized Mn4Fe2Sb3 structure.

a = 3.8898 Å, b = 3.8898 Å, c = 17.9698 Å
α = 90.00°, β = 90.00°, γ = 90.00°
Space group P-4m2 (No. 115)
Unique sites:
Mn  0.0000  0.0000  0.1672 x2
Mn  0.0000  0.5000  0.2519 x2
Mn  0.0000  0.5000  0.5845 x2
Mn  0.0000  0.5000  0.9169 x2
Fe  0.0000  0.0000  0.5000 x1
Fe  0.5000  0.5000  0.1673 x2
Fe  0.5000  0.5000  0.5000 x1
Sb  0.0000  0.5000  0.0678 x2
Sb  0.0000  0.5000  0.4042 x2
Sb  0.0000  0.5000  0.7340 x2

Results
The total magnetization is 9.34 μB per formula unit. The value obtained for the formation energy from raw total energies is 0.09 eV per atom. As for the energy: -69.9 eV per formula unit. The calculation puts the density of states at the Fermi level at 15.4 states/eV per cell.



7.
## LiVP3HO10 (PBEsol)

Data for a geometry-optimized LiVP3HO10 structure.

a = 6.2496 Å, b = 6.3375 Å, c = 6.3900 Å
α = 86.57°, β = 72.58°, γ = 74.94°
Space group P1 (No. 1)
Unique sites:
Li  0.0000  0.0000  0.0000 x1
V  0.5120  0.4454  0.5150 x1
P  0.0148  0.3404  0.6015 x1
P  0.3992  0.9801  0.6192 x1
P  0.6071  0.3391  0.9794 x1
H  0.5088  0.0297  0.9515 x1
O  0.1549  0.0893  0.5594 x1
O  0.1724  0.4875  0.5769 x1
O  0.3260  0.9817  0.8718 x1
O  0.4580  0.4472  0.8377 x1
O  0.4840  0.7580  0.5103 x1
O  0.5468  0.4445  0.1987 x1
O  0.5615  0.1253  0.5190 x1
O  0.6393  0.0832  0.9937 x1
O  0.8524  0.3882  0.4644 x1
O  0.8766  0.3434  0.8610 x1

Results
The total magnetization is 2.00 μB per formula unit. The value obtained for the relative energy among the computed polymorphs is 24 meV per atom. As for the energy: -118.0 eV per formula unit. The calculation puts the density of states at the Fermi level at 8.6 states/eV per cell.



8.
## CaGaRh2Cl (PBEsol)

Data for a geometry-optimized CaGaRh2Cl structure.

a = 4.8090 Å, b = 4.8090 Å, c = 4.9112 Å
α = 90.00°, β = 90.00°, γ = 90.00°
Space group P4/mmm (No. 123)
Unique sites:
Ca  0.0000  0.0000  0.0000 x1
Ga  0.5000  0.5000  0.5000 x1
Rh  0.0000  0.5000  0.0000 x2
Cl  0.0000  0.0000  0.5000 x1

Results
The total magnetization is 0.80 μB per formula unit. The value obtained for the formation energy from raw total energies is 0.91 eV per atom. As for the energy: -19.2 eV per formula unit. The calculation puts the density of states at the Fermi level at 8.0 states/eV per cell.



9.
## Sr2TaRh (PBEsol)

Data for a geometry-optimized Sr2TaRh structure.

a = 4.0935 Å, b = 4.0935 Å, c = 10.6159 Å
α = 90.00°, β = 90.00°, γ = 90.00°
Space group I4/mmm (No. 139)
Unique sites:
Sr  0.0000  0.5000  0.2500 x4
Ta  0.0000  0.0000  0.0000 x2
Rh  0.0000  0.0000  0.5000 x2

Results
The total magnetization is 0.00 μB per formula unit. The value obtained for the relative energy among the computed polymorphs is 11 meV per atom. As for the energy: -21.2 eV per formula unit. The calculation puts the density of states at the Fermi level at 8.1 states/eV per cell. The value obtained for the formation energy is 0.80 eV per atom.



10.
## Cs3NdMo3O12 (PBEsol)

Data for a geometry-optimized Cs3NdMo3O12 structure.

a = 9.2987 Å, b = 6.3357 Å, c = 25.4646 Å
α = 90.00°, β = 90.00°, γ = 90.00°
Space group Pnma (No. 62)
Unique sites:
Cs  0.0236  0.2500  0.0916 x4
Cs  0.0879  0.2500  0.6820 x4
Cs  0.1925  0.2500  0.2568 x4
Nd  0.1837  0.7500  0.4604 x4
Mo  0.0188  0.7500  0.6016 x4
Mo  0.1128  0.2500  0.8250 x4
Mo  0.2435  0.7500  0.0260 x4
O  0.0197  0.0209  0.8051 x8
O  0.0675  0.2500  0.5160 x4
O  0.0870  0.0183  0.4039 x8
O  0.0925  0.7500  0.6650 x4
O  0.1423  0.2500  0.8943 x4
O  0.1623  0.7500  0.5562 x4
O  0.1694  0.5250  0.9942 x8
O  0.2038  0.7500  0.0925 x4
O  0.2225  0.7500  0.2906 x4

Results
The total magnetization is 0.19 μB per formula unit. The value obtained for the formation energy from raw total energies is -2.32 eV per atom. As for the energy: -150.4 eV per formula unit. The calculation puts the density of states at the Fermi level at 0.0 states/eV per cell.



11.
## Ba3AgN (PBEsol)

Data for a geometry-optimized Ba3AgN structure.

a = 5.5122 Å, b = 5.5122 Å, c = 5.5122 Å
α = 90.00°, β = 90.00°, γ = 90.00°
Space group Pm-3m (No. 221)
Unique sites:
Ba  0.0000  0.0000  0.5000 x3
Ag  0.5000  0.5000  0.5000 x1
N  0.0000  0.0000  0.0000 x1

Results
The total magnetization is 0.00 μB per formula unit. The value obtained for the formation energy from raw total energies is -0.23 eV per atom. As for the energy: -19.5 eV per formula unit. The calculation puts the density of states at the Fermi level at 4.2 states/eV per cell.



12.
## ScBiTe2 (PBEsol)

Data for a geometry-optimized ScBiTe2 structure.

a = 3.8868 Å, b = 3.8868 Å, c = 28.8186 Å
α = 90.00°, β = 90.00°, γ = 120.00°
Space group R-3m (No. 166, hexagonal axes)
Unique sites:
Sc  0.0000  0.0000  0.0000 x3
Bi  0.0000  0.0000  0.5000 x3
Te  0.0000  0.0000  0.3942 x6

Results
The total magnetization is 0.00 μB per formula unit. The value obtained for the formation energy from raw total energies is -0.66 eV per atom. As for the energy: -20.6 eV per formula unit. The calculation puts the density of states at the Fermi level at 3.7 states/eV per cell.